No. 1
The following is a DFT calculation (PBE) of crystalline Ta5SiB2 at its relaxed geometry.

Structure (POSCAR):
```
Ta5SiB2
1.0
5.645 0.000 -2.665
-1.258 5.503 -2.665
-0.005 -0.006 7.301
Ta Si B
10 2 4
Direct
0.528 0.694 0.722
0.806 0.972 0.278
0.000 0.000 0.000
0.500 0.500 0.000
0.194 0.028 0.722
0.694 0.194 0.722
0.028 0.528 0.722
0.306 0.806 0.278
0.972 0.472 0.278
0.472 0.306 0.278
0.750 0.750 0.500
0.250 0.250 0.500
0.117 0.383 0.000
0.617 0.117 0.000
0.383 0.883 0.000
0.883 0.617 0.000
```

Calculated values
The formation energy from raw total energies is -674 meV per atom. As for the total energy: -166.87 eV/cell.

=====

No. 2
The following is a DFT calculation (PBE) of crystalline Ta2SiB at its relaxed geometry.

Structure (POSCAR):
```
Ta2SiB
1.0
-0.326 -3.839 -1.905
0.744 -3.585 2.250
-3.254 -2.624 0.998
Si B Ta
1 1 2
Direct
0.500 0.500 0.500
0.000 0.000 0.000
0.250 0.250 0.250
0.750 0.750 0.750
```

Calculated values
The formation energy from raw total energies is 234 meV per atom. As for the total energy: -34.87 eV/cell. The relative energy among the computed polymorphs comes out at 769 meV/atom.

=====

No. 3
The following is a DFT calculation (PBE) of crystalline Ta4Si2B at its relaxed geometry.

Structure (POSCAR):
```
Ta4Si2B
1.0
-2.066 -3.591 -0.185
3.537 -1.992 -0.848
1.786 -3.737 6.090
Si B Ta
2 1 4
Direct
0.360 0.360 0.280
0.640 0.640 0.720
0.000 0.000 0.000
0.169 0.169 0.662
0.831 0.831 0.338
0.000 0.500 0.000
0.500 0.000 0.000
```

Calculated values
The formation energy from raw total energies is 14 meV per atom. As for the total energy: -64.84 eV/cell.

=====

No. 4
The following is a DFT calculation (PBE) of crystalline Ta2SiB at its relaxed geometry.

Structure (POSCAR):
```
Ta2SiB
1.0
3.321 0.000 0.000
0.000 4.897 -0.064
0.000 -2.527 6.623
Ta Si B
4 2 2
Direct
0.750 0.202 0.442
0.250 0.798 0.558
0.250 0.788 0.089
0.750 0.212 0.911
0.250 0.355 0.215
0.750 0.645 0.785
0.750 0.657 0.289
0.250 0.343 0.711
```

Calculated values
The formation energy from raw total energies is -535 meV per atom. As for the total energy: -75.89 eV/cell. The relative energy among the computed polymorphs comes out at 0 meV/atom.